# SiPb2 meta-GGA SCAN PBEsol geometry
data_SiPb2
_cell_length_a 3.383
_cell_length_b 3.782
_cell_length_c 6.434
_cell_angle_alpha 107.09
_cell_angle_beta 105.24
_cell_angle_gamma 90.00
_space_group_name_H-M_alt 'P 1'
_space_group_IT_number 1
loop_
_space_group_symop_operation_xyz
'x,y,z'
loop_
_atom_site_label
_atom_site_fract_x
_atom_site_fract_y
_atom_site_fract_z
Pb1 0.357 0.357 0.714
Pb2 0.643 0.643 0.286
Si1 0.000 0.000 0.000
# symmetry = No. 71
# formation energy (no corrections) = 0.42 eV/atom
# E = -53.44 eV per atom
# magnetization = 0.0 μB per formula unit